Entry 1:
# Tb3Lu SCAN PBEsol geometry
# Crystal system: cubic
# Energy of formation in eV per atom: 0.02
# DOS at the Fermi energy in states/eV per atom: 1.27
data_Tb3Lu
_chemical_formula_sum 'Tb3 Lu1'
_cell_length_a 4.8847
_cell_length_b 4.8847
_cell_length_c 4.8847
_cell_angle_alpha 90.00
_cell_angle_beta 90.00
_cell_angle_gamma 90.00
_symmetry_space_group_name_H-M 'P m -3 m'
_symmetry_Int_Tables_number 221
_symmetry_space_group_name_Hall '-P 4 2 3'
loop_
_atom_site_label
_atom_site_fract_x
_atom_site_fract_y
_atom_site_fract_z
Tb1 0.0000 0.0000 0.5000
Lu1 0.5000 0.5000 0.5000

Entry 2:
# Lu2ZnTc SCAN PBEsol geometry
# Crystal system: cubic
# Energy of formation in eV per atom: -0.31
# DOS at the Fermi energy in states/eV per atom: 0.67
data_Lu2ZnTc
_chemical_formula_sum 'Lu8 Zn4 Tc4'
_cell_length_a 6.7056
_cell_length_b 6.7056
_cell_length_c 6.7056
_cell_angle_alpha 90.00
_cell_angle_beta 90.00
_cell_angle_gamma 90.00
_symmetry_space_group_name_H-M 'F m -3 m'
_symmetry_Int_Tables_number 225
_symmetry_space_group_name_Hall '-F 4 2 3'
loop_
_atom_site_label
_atom_site_fract_x
_atom_site_fract_y
_atom_site_fract_z
Lu1 0.2500 0.2500 0.2500
Zn1 0.0000 0.0000 0.0000
Tc1 0.0000 0.0000 0.5000

Entry 3:
# Lu7Te SCAN PBEsol geometry
# Crystal system: orthorhombic
# Energy relative to the elements, uncorrected in meV per atom: -330
# DOS at the Fermi energy in states/eV per atom: 1.09
data_Lu7Te
_chemical_formula_sum 'Lu28 Te4'
_cell_length_a 3.6633
_cell_length_b 11.9615
_cell_length_c 19.7567
_cell_angle_alpha 90.00
_cell_angle_beta 90.00
_cell_angle_gamma 90.00
_symmetry_space_group_name_H-M 'C m c m'
_symmetry_Int_Tables_number 63
_symmetry_space_group_name_Hall '-C 2c 2'
loop_
_atom_site_label
_atom_site_fract_x
_atom_site_fract_y
_atom_site_fract_z
Lu1 0.0000 0.0192 0.1106
Lu2 0.0000 0.2470 0.6433
Lu3 0.0000 0.3587 0.0121
Lu4 0.0000 0.4334 0.2500
Te1 0.0000 0.1490 0.2500

Entry 4:
# LuTe3 SCAN PBEsol geometry
# Crystal system: orthorhombic
# Energy relative to the elements, uncorrected in meV per atom: -912
# DOS at the Fermi energy in states/eV per atom: 0.20
data_LuTe3
_chemical_formula_sum 'Lu4 Te12'
_cell_length_a 4.2469
_cell_length_b 25.1374
_cell_length_c 4.2483
_cell_angle_alpha 90.00
_cell_angle_beta 90.00
_cell_angle_gamma 90.00
_symmetry_space_group_name_H-M 'C m c m'
_symmetry_Int_Tables_number 63
_symmetry_space_group_name_Hall '-C 2c 2'
loop_
_atom_site_label
_atom_site_fract_x
_atom_site_fract_y
_atom_site_fract_z
Lu1 0.0000 0.1707 0.2500
Te1 0.0000 0.0741 0.7500
Te2 0.0000 0.2934 0.2500
Te3 0.0000 0.4260 0.7500

Entry 5:
# Lu8Te SCAN PBEsol geometry
# Crystal system: hexagonal
# Energy relative to the elements, uncorrected in meV per atom: -302
# DOS at the Fermi energy in states/eV per atom: 0.92
data_Lu8Te
_chemical_formula_sum 'Lu8 Te1'
_cell_length_a 8.8639
_cell_length_b 8.8639
_cell_length_c 3.6226
_cell_angle_alpha 90.00
_cell_angle_beta 90.00
_cell_angle_gamma 120.00
_symmetry_space_group_name_H-M 'P -6 2 m'
_symmetry_Int_Tables_number 189
_symmetry_space_group_name_Hall 'P -6 -2'
loop_
_atom_site_label
_atom_site_fract_x
_atom_site_fract_y
_atom_site_fract_z
Lu1 0.0000 0.3836 0.0000
Lu2 0.0000 0.7212 0.5000
Lu3 0.3333 0.6667 0.5000
Te1 0.0000 0.0000 0.0000

Entry 6:
# LuTe3 SCAN PBEsol geometry
# Crystal system: orthorhombic
# Energy relative to the elements, uncorrected in meV per atom: -571
# DOS at the Fermi energy in states/eV per atom: 0.46
data_LuTe3
_chemical_formula_sum 'Lu4 Te12'
_cell_length_a 3.9207
_cell_length_b 27.1398
_cell_length_c 4.5121
_cell_angle_alpha 90.00
_cell_angle_beta 90.00
_cell_angle_gamma 90.00
_symmetry_space_group_name_H-M 'C m c m'
_symmetry_Int_Tables_number 63
_symmetry_space_group_name_Hall '-C 2c 2'
loop_
_atom_site_label
_atom_site_fract_x
_atom_site_fract_y
_atom_site_fract_z
Lu1 0.0000 0.0488 0.2500
Te1 0.0000 0.1626 0.2500
Te2 0.0000 0.3141 0.2500
Te3 0.0000 0.4473 0.2500

Entry 7:
# LuTlTe2 SCAN PBEsol geometry
# Crystal system: trigonal
# Energy relative to the elements, uncorrected in meV per atom: -1081
data_LuTlTe2
_chemical_formula_sum 'Lu3 Tl3 Te6'
_cell_length_a 4.2891
_cell_length_b 4.2891
_cell_length_c 24.0187
_cell_angle_alpha 90.00
_cell_angle_beta 90.00
_cell_angle_gamma 120.00
_symmetry_space_group_name_H-M 'R -3 m'
_symmetry_Int_Tables_number 166
_symmetry_space_group_name_Hall '-R 3 2"'
loop_
_atom_site_label
_atom_site_fract_x
_atom_site_fract_y
_atom_site_fract_z
Lu1 0.0000 0.0000 0.0000
Tl1 0.0000 0.0000 0.5000
Te1 0.0000 0.0000 0.2622

Entry 8:
# YLuTl2 SCAN PBEsol geometry
# Crystal system: cubic
# Energy of formation in eV per atom: -0.52
# DOS at the Fermi energy in states/eV per atom: 0.61
data_YLuTl2
_chemical_formula_sum 'Y4 Lu4 Tl8'
_cell_length_a 7.3897
_cell_length_b 7.3897
_cell_length_c 7.3897
_cell_angle_alpha 90.00
_cell_angle_beta 90.00
_cell_angle_gamma 90.00
_symmetry_space_group_name_H-M 'F m -3 m'
_symmetry_Int_Tables_number 225
_symmetry_space_group_name_Hall '-F 4 2 3'
loop_
_atom_site_label
_atom_site_fract_x
_atom_site_fract_y
_atom_site_fract_z
Y1 0.0000 0.0000 0.0000
Lu1 0.0000 0.0000 0.5000
Tl1 0.2500 0.2500 0.2500